First-principles (PBE) data for a relaxed structure of CsY2MnMo, as listed in Alexandria.

a = 5.6048 Å, b = 5.6048 Å, c = 4.4744 Å
α = 90.00°, β = 90.00°, γ = 90.00°
With the nearest neighbours (Å) after each atom.
Fractional positions:
1 Cs 0.0000 0.0000 0.0000  8 Y 3.59, 4 Mo 3.96
2 Y 0.0000 0.5000 0.5000  2 Mn 2.80
3 Y 0.5000 0.0000 0.5000  2 Mn 2.80
4 Mn 0.5000 0.5000 0.5000  2 Mo 2.24
5 Mo 0.5000 0.5000 0.0000  2 Mn 2.24

Results
**DFT formation energy**: 0.80 eV per atom